1.
First-principles (PBE) data for an optimized crystal structure of Na2U2AgTe6, as listed in Alexandria via LeMat-Bulk.

Cell and atoms, written as extended XYZ:
```
11
Lattice="-3.6766 0.5726 -6.6004 -2.7130 -4.3053 5.6139 -1.7797 7.1667 3.0025" Properties=species:S:1:pos:R:3 pbc="T T T"
Na -3.5192 -0.2244 -4.6049
Na -2.8704 -3.5083 3.6183
U -3.9251 0.9092 3.0307
U -4.2442 2.5248 -1.0148
Ag -0.8899 3.5834 1.5012
Te -5.9820 2.4857 1.4646
Te -2.7003 3.4692 4.0332
Te -2.1873 0.9483 0.5513
Te -3.0299 5.1374 -0.1441
Te -5.4690 -0.0352 -2.0173
Te -5.1394 -1.7034 2.1600
```

Values from the calculation:
electronic total energy	-4.87	eV/atom
D(E_F)	0.98	states/eV/atom
size of the total moment	2.996	μB per cell

***

2.
First-principles (PBE) data for an optimized crystal structure of TlCl3F12, as listed in Alexandria via LeMat-Bulk.

Cell and atoms, written as extended XYZ:
```
32
Lattice="-0.8047 4.3178 9.8896 8.8318 3.7553 4.9992 1.7988 7.8421 2.6426" Properties=species:S:1:pos:R:3 pbc="T T T"
Tl 2.0148 6.5733 3.2141
Tl 5.1289 6.6888 9.3372
Cl 2.4016 4.1433 8.2340
Cl 5.1950 6.5397 5.4549
Cl 1.6850 8.1586 10.3754
Cl -0.2553 1.4650 3.2924
Cl 5.8702 2.5268 3.3344
Cl 7.8483 9.2364 10.4389
F 3.1794 9.3128 5.5504
F 3.2795 6.0829 4.9532
F 8.8778 11.9049 15.7438
F 2.7219 12.2487 12.2467
F 4.5038 7.1378 7.2706
F 0.0160 2.2682 4.7429
F 3.6751 5.0425 9.5374
F 4.9034 10.3631 13.8230
F 1.4283 7.3595 8.9196
F 2.0709 9.1096 12.1292
F 3.6787 8.2193 9.9834
F 6.7608 6.9211 5.9310
F 4.2991 2.1540 2.8707
F 3.1050 11.2352 9.8464
F 9.9741 12.1049 9.1866
F 6.5870 5.1613 8.7008
F 5.7420 6.2365 11.4069
F 3.6585 3.9652 7.1336
F 6.5805 9.4115 11.5279
F 8.7863 15.1322 16.3562
F 6.5881 8.3289 9.1272
F 7.1699 10.8708 7.5012
F 9.3383 8.9743 9.0822
F 8.9312 9.9922 11.4775
```

Values from the calculation:
electronic total energy	-2.83	eV/atom
D(E_F)	0.00	states/eV/atom
size of the total moment	0.000	μB per cell

***

The evaluated uncorrected formation energy for the records listed, in turn: -608; -929 meV per atom.